Entry 1:
Compound: Ca6As2SeBr3
Source: Alexandria
Functional: GGA-PBE
Structure: relaxed

Lattice parameters (Å, degrees): 7.4444 7.4444 7.4550 99.57 99.57 119.99
Positions (direct):
Ca (0.0882, 0.4285, 0.7856)
Ca (0.2306, 0.2306, 0.2131)
Ca (0.4285, 0.0882, 0.7856)
Ca (0.5715, 0.9118, 0.2144)
Ca (0.7694, 0.7694, 0.7869)
Ca (0.9118, 0.5715, 0.2144)
As (0.1670, 0.8330, 0.0000)
As (0.8330, 0.1670, 0.0000)
Se (0.5000, 0.5000, 0.0000)
Br (0.0000, 0.0000, 0.5000)
Br (0.3369, 0.6631, 0.5000)
Br (0.6631, 0.3369, 0.5000)

Properties
Its symmetry is C2/m (12). The value obtained for the uncorrected energy is -4.080 eV per atom.



Entry 2:
Compound: CaAsSe2Br
Source: Alexandria
Functional: GGA-PBE
Structure: relaxed

Lattice parameters (Å, degrees): 5.2624 5.2624 5.0940 90.00 90.00 90.00
Positions (direct):
Ca (0.0000, 0.0000, 0.0000)
As (0.5000, 0.5000, 0.0000)
Se (0.0000, 0.5000, 0.5000)
Se (0.5000, 0.0000, 0.5000)
Br (0.5000, 0.5000, 0.5000)

Properties
Its symmetry is P4/mmm (123). For the energy relative to the lowest polymorph listed for this composition, the calculation gives 731 meV/atom.



Entry 3:
Compound: CaAsSe2Br
Source: Alexandria
Functional: GGA-PBE
Structure: relaxed

Lattice parameters (Å, degrees): 5.5467 5.5467 5.2592 90.00 90.00 90.00
Positions (direct):
Ca (0.0000, 0.0000, 0.0000)
As (0.5000, 0.5000, 0.5000)
Se (0.0000, 0.5000, 0.0000)
Se (0.5000, 0.0000, 0.0000)
Br (0.0000, 0.0000, 0.5000)

Properties
Its symmetry is P4/mmm (123). For the energy relative to the lowest polymorph listed for this composition, the calculation gives 663 meV/atom.



Entry 4:
Compound: CaSiAsBr2
Source: Alexandria
Functional: GGA-PBE
Structure: relaxed

Lattice parameters (Å, degrees): 5.1439 5.1439 5.0351 90.00 90.00 90.00
Positions (direct):
Ca (0.0000, 0.0000, 0.0000)
Si (0.5000, 0.5000, 0.5000)
As (0.5000, 0.5000, 0.0000)
Br (0.0000, 0.5000, 0.5000)
Br (0.5000, 0.0000, 0.5000)

Properties
Its symmetry is P4/mmm (123). For the energy relative to the lowest polymorph listed for this composition, the calculation gives 0 meV/atom.



Number 1: magnetic moment 0.000 μB/f.u.. Number 2: magnetic moment 0.995 μB/f.u.. Number 3: magnetic moment 0.000 μB/f.u.. Number 4: magnetic moment 0.000 μB/f.u..